This record from the Alexandria database describes NaTl2Mo2O7 after structural relaxation. The functional is PBE with a Hubbard U.

Computed properties:
Crystal system ... monoclinic
VASP energy ... -6.01 eV/atom

Lattice parameters (Å, degrees): 3.952 3.952 12.004 99.40 99.40 90.00
Positions (direct):
Na: 0.000 0.000 0.000
Tl: 0.186 0.186 0.373
Tl: 0.814 0.814 0.627
Mo: 0.414 0.414 0.829
Mo: 0.586 0.586 0.171
O: 0.082 0.582 0.164
O: 0.336 0.336 0.670
O: 0.418 0.918 0.836
O: 0.500 0.500 0.000
O: 0.582 0.082 0.164
O: 0.664 0.664 0.330
O: 0.918 0.418 0.836